Here is a relaxed TlBiAs2 crystal from Alexandria. Energies are from GGA-PBE.

Results
Space-group type: R-3m, No. 166
ΔE_f: 0.12 eV/atom
ρ: 8.75 Mg/m³
Fermi-level density of states: 2.79 states/eV/cell

Lattice parameters (Å, degrees): 4.2421 4.2421 7.2800 73.06 73.06 60.00
Last column: nearest neighbours and their distance in Å.
Fractional coordinates of all 4 atoms:
1 As 0.2501 0.2501 0.2497  3 Bi 2.99, 3 Tl 2.99
2 As 0.7499 0.7499 0.7503  3 Bi 2.99, 3 Tl 2.99
3 Tl 0.5000 0.5000 0.5000  6 As 2.99
4 Bi 0.0000 0.0000 0.0000  6 As 2.99